# 1
Here is an optimized crystal structure of UTc4Sn from Alexandria. Energies are from GGA-PBE.

VASP energy, eV per atom: -9.32
Symmetry: No. 216
ΔH_f (0 K), eV/atom: 0.135

Cell and atoms, written as POSCAR:
```
UTc4Sn
1.0
5.3151 0.0000 0.0000
2.6575 4.6030 0.0000
2.6575 1.5343 4.3397
U Sn Tc
1 1 4
direct
0.2500 0.2500 0.2500
0.0000 0.0000 0.0000
0.6264 0.6264 0.6264
0.1209 0.6264 0.6264
0.6264 0.6264 0.1209
0.6264 0.1209 0.6264
```



# 2
Here is an optimized crystal structure of ZrSc2Ni from Alexandria. Energies are from GGA-PBE.

VASP energy, eV per atom: -6.74
Symmetry: No. 123
ΔH_f (0 K), eV/atom: 0.010
Polymorph energy (0 for the lowest one), kJ/mol of atoms: 25.0

Cell and atoms, written as POSCAR:
```
ZrSc2Ni
1.0
4.3302 0.0000 0.0000
0.0000 4.2557 0.0000
0.0000 0.0000 4.2557
Zr Ni Sc
1 1 2
direct
0.5000 0.5000 0.0000
0.5000 0.0000 0.5000
0.0000 0.0000 0.0000
0.0000 0.5000 0.5000
```



# 3
Here is an optimized crystal structure of CuB2SbN from Alexandria. Energies are from GGA-PBE.

VASP energy, eV per atom: -4.39
Symmetry: No. 123

Cell and atoms, written as POSCAR:
```
CuB2SbN
1.0
3.6967 0.0000 0.0000
0.0000 4.9307 0.0000
0.0000 0.0000 3.6967
Cu Sb B N
1 1 2 1
direct
0.0000 0.0000 0.0000
0.5000 0.5000 0.5000
0.0000 0.0000 0.5000
0.5000 0.0000 0.0000
0.0000 0.5000 0.0000
```



# 4
Here is an optimized crystal structure of Si2TcHg from Alexandria. Energies are from GGA-PBE.

VASP energy, eV per atom: -4.95
Symmetry: No. 122

Cell and atoms, written as POSCAR:
```
Si2TcHg
1.0
-0.5785 3.0340 -2.8260
-3.8191 -1.5008 -0.8294
-5.3703 5.6066 4.0177
Si Tc Hg
4 2 2
direct
0.3750 0.4495 0.7500
0.5505 0.1250 0.2500
0.1995 0.6250 0.2500
0.8750 0.8005 0.7500
0.2500 0.7500 0.5000
0.5000 0.5000 0.0000
0.0000 0.0000 0.0000
0.7500 0.2500 0.5000
```



# 5
Here is an optimized crystal structure of NaDy4Y3S8 from Alexandria. Energies are from GGA-PBE.

VASP energy, eV per atom: -6.46
Symmetry: No. 166

Cell and atoms, written as POSCAR:
```
NaDy4Y3S8
1.0
7.8384 0.0000 0.0000
0.0000 7.8378 -0.0063
-3.9192 -3.9158 5.5446
Na Y S Dy
1 3 8 4
direct
0.0000 0.5000 0.0000
0.5000 0.5000 0.5000
0.5000 0.5000 0.0000
0.0000 0.5000 0.5000
0.2505 0.7513 0.5010
0.2496 0.2489 0.4992
0.7495 0.2487 0.4990
0.7504 0.7511 0.0008
0.7504 0.7511 0.5008
0.2504 0.7511 0.0008
0.2496 0.2489 0.9992
0.7496 0.2489 0.9992
0.5000 0.0000 0.5000
0.0000 0.0000 0.0000
0.5000 0.0000 0.0000
0.0000 0.0000 0.5000
```



# 6
Here is an optimized crystal structure of InGa2Fe2 from Alexandria. Energies are from GGA-PBE.

VASP energy, eV per atom: -5.00
Symmetry: No. 139
ΔH_f (0 K), eV/atom: 0.146
Polymorph energy (0 for the lowest one), kJ/mol of atoms: 5.8

Cell and atoms, written as POSCAR:
```
InGa2Fe2
1.0
3.6153 0.0000 0.0000
0.0000 3.6153 0.0000
1.8077 1.8077 5.9813
Fe Ga In
2 2 1
direct
0.4026 0.4026 0.1948
0.5974 0.5974 0.8052
0.7500 0.2500 0.5000
0.2500 0.7500 0.5000
0.0000 0.0000 0.0000
```



# 7
Here is an optimized crystal structure of Tb3SmDy4S8 from Alexandria. Energies are from GGA-PBE.

VASP energy, eV per atom: -6.38
Symmetry: No. 166

Cell and atoms, written as POSCAR:
```
Tb3SmDy4S8
1.0
-5.1721 1.0098 5.8205
-2.0868 -7.5559 -0.5434
7.5377 1.9206 1.0689
Dy Tb S Sm
4 3 8 1
direct
0.5000 0.0000 0.5000
0.5000 0.0000 0.0000
0.0000 0.0000 0.0000
0.0000 0.0000 0.5000
0.5000 0.5000 0.5000
0.0000 0.5000 0.5000
0.5000 0.5000 0.0000
0.7508 0.7523 0.5016
0.2519 0.2450 0.9984
0.7466 0.2450 0.4931
0.7481 0.7550 0.0016
0.7466 0.2450 0.9984
0.2492 0.2477 0.4984
0.2534 0.7550 0.0016
0.2534 0.7550 0.5069
0.0000 0.5000 0.0000
```



# 8
Here is an optimized crystal structure of LiErZn11 from Alexandria. Energies are from GGA-PBE.

VASP energy, eV per atom: -1.76
Symmetry: No. 12
ΔH_f (0 K), eV/atom: -0.185

Cell and atoms, written as POSCAR:
```
LiErZn11
1.0
-3.3600 -0.7421 3.9261
2.9281 0.6567 6.0605
-3.0276 5.6965 1.9566
Zn Li Er
11 1 1
direct
0.0000 0.5000 0.0000
0.3578 0.6465 0.6498
0.6422 0.3535 0.3502
0.0000 0.0000 0.5000
0.4976 0.7812 0.2150
0.2874 0.2188 0.2150
0.9924 0.3535 0.6498
0.0076 0.6465 0.3502
0.5000 0.0000 0.5000
0.7126 0.7812 0.7850
0.5024 0.2188 0.7850
0.5000 0.5000 0.0000
0.0000 0.0000 0.0000
```



# 9
Here is an optimized crystal structure of TiInAgGe2 from Alexandria. Energies are from GGA-PBE.

VASP energy, eV per atom: -3.63
Symmetry: No. 123
ΔH_f (0 K), eV/atom: 0.911

Cell and atoms, written as POSCAR:
```
TiInAgGe2
1.0
-2.9597 0.5559 -3.8811
0.6820 -5.0174 -1.2388
-3.8676 -1.2111 2.7760
Ti Ag Ge In
1 1 2 1
direct
0.5000 0.5000 0.5000
0.0000 0.0000 0.0000
0.5000 0.0000 0.0000
0.0000 0.0000 0.5000
0.0000 0.5000 0.0000
```



# 10
Here is an optimized crystal structure of YEr3Sc3 from Alexandria. Energies are from GGA-PBE.

VASP energy, eV per atom: -5.31
Symmetry: No. 148
ΔH_f (0 K), eV/atom: 0.279
Polymorph energy (0 for the lowest one), kJ/mol of atoms: 24.9

Cell and atoms, written as POSCAR:
```
YEr3Sc3
1.0
7.5928 0.6077 4.1218
2.7228 7.1138 4.1218
0.8118 0.6077 8.6013
Sc Y Er
6 2 6
direct
0.4181 0.9446 0.2594
0.7406 0.5819 0.0554
0.5819 0.0554 0.7406
0.0554 0.7406 0.5819
0.9446 0.2594 0.4181
0.2594 0.4181 0.9446
0.3399 0.3399 0.3399
0.6601 0.6601 0.6601
0.1758 0.9290 0.7089
0.0710 0.2911 0.8242
0.8242 0.0710 0.2911
0.7089 0.1758 0.9290
0.2911 0.8242 0.0710
0.9290 0.7089 0.1758
```



# 11
Here is an optimized crystal structure of Tl5Ir from Alexandria. Energies are from GGA-PBE.

VASP energy, eV per atom: -2.73
Symmetry: No. 216
ΔH_f (0 K), eV/atom: 0.716
Polymorph energy (0 for the lowest one), kJ/mol of atoms: 48.8

Cell and atoms, written as POSCAR:
```
Tl5Ir
1.0
0.0000 4.3841 4.3841
4.3841 0.0000 4.3841
4.3841 4.3841 0.0000
Tl Ir
5 1
direct
0.6258 0.6258 0.6258
0.6258 0.1225 0.6258
0.1225 0.6258 0.6258
0.2500 0.2500 0.2500
0.6258 0.6258 0.1225
0.0000 0.0000 0.0000
```



# 12
Here is an optimized crystal structure of Ce3SiH from Alexandria. Energies are from GGA-PBE.

VASP energy, eV per atom: -5.67
Symmetry: No. 221

Cell and atoms, written as POSCAR:
```
Ce3SiH
1.0
4.6672 0.0000 0.0000
0.0000 4.6672 0.0000
0.0000 0.0000 4.6672
Si Ce H
1 3 1
direct
0.5000 0.5000 0.5000
0.0000 0.5000 0.0000
0.0000 0.0000 0.5000
0.5000 0.0000 0.0000
0.0000 0.0000 0.0000
```



# 13
Here is an optimized crystal structure of PmErPtAu from Alexandria. Energies are from GGA-PBE.

VASP energy, eV per atom: -5.70
Symmetry: No. 38
ΔH_f (0 K), eV/atom: -1.043
Polymorph energy (0 for the lowest one), kJ/mol of atoms: 0.0

Cell and atoms, written as POSCAR:
```
PmErPtAu
1.0
-2.1302 -2.6436 -1.7334
2.8065 -3.3211 1.6160
-1.9870 0.8889 5.2777
Pm Au Pt Er
1 1 1 1
direct
0.1398 0.0000 0.2796
0.5856 0.5000 0.1713
0.4107 0.0000 0.8215
0.8639 0.5000 0.7277
```



# 14
Here is an optimized crystal structure of Tb4Tm7Th from Alexandria. Energies are from GGA-PBE.

VASP energy, eV per atom: -4.45
Symmetry: No. 12
ΔH_f (0 K), eV/atom: 0.317
Polymorph energy (0 for the lowest one), kJ/mol of atoms: 22.7

Cell and atoms, written as POSCAR:
```
Tb4Tm7Th
1.0
5.8628 0.0000 0.0000
2.9314 11.0200 -0.3235
2.9314 0.1650 6.0199
Tb Tm Th
4 7 1
direct
0.3630 0.7758 0.4981
0.7575 0.6781 0.8069
0.6370 0.2242 0.5019
0.2425 0.3219 0.1931
0.5000 0.0000 0.0000
0.2140 0.0768 0.4951
0.7860 0.9232 0.5049
0.9388 0.3227 0.7997
0.3664 0.5001 0.7671
0.6336 0.4999 0.2329
0.0612 0.6773 0.2003
0.0000 0.0000 0.0000
```



# 15
Here is an optimized crystal structure of HoTh2TiN5 from Alexandria. Energies are from GGA-PBE.

VASP energy, eV per atom: -9.21
Symmetry: No. 36

Cell and atoms, written as POSCAR:
```
HoTh2TiN5
1.0
-0.3121 0.6022 3.4479
-6.6989 -1.5533 -2.1257
1.7657 -10.2940 1.9577
N Ti Th Ho
10 2 4 2
direct
0.6933 0.3866 0.8521
0.6230 0.2460 0.5248
0.9542 0.9084 0.5490
0.0458 0.0916 0.0490
0.3770 0.7540 0.0248
0.2873 0.5746 0.6578
0.7127 0.4254 0.1578
0.5097 0.0195 0.2946
0.3067 0.6134 0.3521
0.4903 0.9805 0.7946
0.4893 0.9786 0.4756
0.5107 0.0214 0.9756
0.1374 0.2748 0.2779
0.8825 0.7651 0.1968
0.8626 0.7252 0.7779
0.1175 0.2349 0.6968
0.2119 0.4239 0.9954
0.7881 0.5761 0.4954
```



# 16
Here is an optimized crystal structure of MnW2Au from Alexandria. Energies are from GGA-PBE.

VASP energy, eV per atom: -8.88
Symmetry: No. 225
ΔH_f (0 K), eV/atom: 0.712
Polymorph energy (0 for the lowest one), kJ/mol of atoms: 47.3

Cell and atoms, written as POSCAR:
```
MnW2Au
1.0
0.0000 3.1356 3.1356
3.1356 0.0000 3.1356
3.1356 3.1356 0.0000
W Au Mn
2 1 1
direct
0.2500 0.2500 0.2500
0.7500 0.7500 0.7500
0.5000 0.5000 0.5000
0.0000 0.0000 0.0000
```



# 17
Here is an optimized crystal structure of Ta2Be16Cu from Alexandria. Energies are from GGA-PBE.

VASP energy, eV per atom: -4.80
Symmetry: No. 160
ΔH_f (0 K), eV/atom: -0.202

Cell and atoms, written as POSCAR:
```
Ta2Be16Cu
1.0
5.5517 0.0240 0.6526
0.5831 5.5210 0.6526
0.0265 0.0240 5.5898
Be Cu Ta
16 1 2
direct
0.6517 0.1629 0.6517
0.9993 0.7037 0.2955
0.0016 0.4968 0.0016
0.1043 0.1043 0.1043
0.9993 0.2955 0.7037
0.6517 0.6517 0.1629
0.7037 0.2955 0.9993
0.4968 0.0016 0.0016
0.8387 0.3467 0.3467
0.7037 0.9993 0.2955
0.1629 0.6517 0.6517
0.2955 0.7037 0.9993
0.0016 0.0016 0.4968
0.2955 0.9993 0.7037
0.3467 0.8387 0.3467
0.3467 0.3467 0.8387
0.9042 0.9042 0.9042
0.3397 0.3397 0.3397
0.6561 0.6561 0.6561
```



# 18
Here is an optimized crystal structure of CaCeGaPt from Alexandria. Energies are from GGA-PBE.

VASP energy, eV per atom: -4.93
Symmetry: No. 216
ΔH_f (0 K), eV/atom: -0.680

Cell and atoms, written as POSCAR:
```
CaCeGaPt
1.0
-4.2735 2.5981 -0.8187
-3.2343 -1.5107 -3.5972
-4.4714 -2.0048 1.2924
Pt Ce Ga Ca
1 1 1 1
direct
0.0000 0.0000 0.0000
0.2500 0.2500 0.2500
0.5000 0.5000 0.5000
0.7500 0.7500 0.7500
```



# 19
Here is an optimized crystal structure of NpCrMoC3 from Alexandria. Energies are from GGA-PBE.

VASP energy, eV per atom: -10.06
Symmetry: No. 11
ΔH_f (0 K), eV/atom: 0.117

Cell and atoms, written as POSCAR:
```
NpCrMoC3
1.0
3.0492 0.0000 0.0000
0.0000 6.6039 0.5191
0.0000 -2.0237 7.2913
C Cr Np Mo
6 2 2 2
direct
0.2500 0.8191 0.5372
0.2500 0.1171 0.8682
0.7500 0.8829 0.1318
0.2500 0.5689 0.8365
0.7500 0.4311 0.1635
0.7500 0.1809 0.4628
0.7500 0.8730 0.3993
0.2500 0.1270 0.6007
0.2500 0.1721 0.1979
0.7500 0.8279 0.8021
0.2500 0.6493 0.1219
0.7500 0.3507 0.8781
```



# 20
Here is an optimized crystal structure of SiNiHN from Alexandria. Energies are from GGA-PBE.

VASP energy, eV per atom: -5.80
Symmetry: No. 6
Polymorph energy (0 for the lowest one), kJ/mol of atoms: 26.0

Cell and atoms, written as POSCAR:
```
SiNiHN
1.0
-0.5154 -1.3632 2.5058
0.2633 -3.0789 -1.6208
3.8446 0.6140 -0.5418
Ni N Si H
1 1 1 1
direct
0.6822 0.5000 0.7260
0.5259 0.0000 0.4142
0.8924 0.0000 0.1460
0.8928 0.5000 0.1310
```



# 21
Here is an optimized crystal structure of ZnFeAsPb2 from Alexandria. Energies are from GGA-PBE.

VASP energy, eV per atom: -3.86
Symmetry: No. 123
ΔH_f (0 K), eV/atom: 0.496

Cell and atoms, written as POSCAR:
```
ZnFeAsPb2
1.0
5.1059 0.0000 0.0000
0.0000 4.7128 0.0000
0.0000 0.0000 5.1059
Zn As Pb Fe
1 1 2 1
direct
0.0000 0.5000 0.0000
0.5000 0.5000 0.5000
0.0000 0.0000 0.5000
0.5000 0.0000 0.0000
0.0000 0.0000 0.0000
```



# 22
Here is an optimized crystal structure of CaCoP2 from Alexandria. Energies are from GGA-PBE.

VASP energy, eV per atom: -5.51
Symmetry: No. 71
ΔH_f (0 K), eV/atom: -0.533
Polymorph energy (0 for the lowest one), kJ/mol of atoms: 16.3

Cell and atoms, written as POSCAR:
```
CaCoP2
1.0
4.7740 -0.0045 0.0087
-0.2967 4.7648 -0.0087
-1.2153 -3.3427 3.1845
P Ca Co
2 1 1
direct
0.4218 0.4218 0.0000
0.0782 0.0782 0.0000
0.7500 0.2500 0.5000
0.2500 0.7500 0.5000
```



# 23
Here is an optimized crystal structure of SrLu2Ga from Alexandria. Energies are from GGA-PBE.

VASP energy, eV per atom: -3.39
Symmetry: No. 166
ΔH_f (0 K), eV/atom: 0.045
Polymorph energy (0 for the lowest one), kJ/mol of atoms: 21.0

Cell and atoms, written as POSCAR:
```
SrLu2Ga
1.0
3.6042 0.0000 0.0000
1.8021 3.1214 0.0000
1.8021 1.0405 11.1938
Lu Ga Sr
2 1 1
direct
0.1054 0.1054 0.6839
0.8946 0.8946 0.3161
0.5000 0.5000 0.5000
0.0000 0.0000 0.0000
```



# 24
Here is an optimized crystal structure of ThGaTe4 from Alexandria. Energies are from GGA-PBE.

VASP energy, eV per atom: -4.32
Symmetry: No. 14

Cell and atoms, written as POSCAR:
```
ThGaTe4
1.0
7.8452 0.0000 -0.3741
0.0000 6.7111 0.0000
-0.4816 0.0000 7.8101
Te Ga Th
8 2 2
direct
0.1393 0.3919 0.8415
0.6101 0.6086 0.6201
0.3607 0.8919 0.1585
0.3899 0.3914 0.3799
0.8899 0.1086 0.3799
0.8607 0.6081 0.1585
0.6393 0.1081 0.8415
0.1101 0.8914 0.6201
0.5000 0.0000 0.5000
0.0000 0.5000 0.5000
0.0000 0.0000 0.0000
0.5000 0.5000 0.0000
```